Material: PrHo2TlC
Method: DFT, GGA-PBE
State: optimized geometry

DOS(E_F): 1.94 states/eV/cell
Energy: -5.4804 eV/atom

abc: 5.170 4.918 4.918
angles: 90.00 90.00 90.00
Atoms (fractional coordinates):
Pr: 0.500 0.000 0.000
Ho: 0.000 0.000 0.500
Ho: 0.000 0.500 0.000
Tl: 0.500 0.500 0.500
C: 0.000 0.000 0.000